(1)
Be4AlTc | GGA-PBEsol | optimized geometry

Geometry as CIF:
```
data_Be4AlTc
_cell_length_a 4.345
_cell_length_b 4.345
_cell_length_c 4.345
_cell_angle_alpha 60.00
_cell_angle_beta 60.00
_cell_angle_gamma 60.00
_symmetry_space_group_name_H-M 'P 1'
_symmetry_Int_Tables_number 1
loop_
_symmetry_equiv_pos_as_xyz
'x,y,z'
loop_
_atom_site_label
_atom_site_type_symbol
_atom_site_fract_x
_atom_site_fract_y
_atom_site_fract_z
Tc1 Tc 0.750 0.750 0.750
Be1 Be 0.378 0.867 0.378
Be2 Be 0.378 0.378 0.378
Be3 Be 0.867 0.378 0.378
Be4 Be 0.378 0.378 0.867
Al1 Al 0.000 0.000 0.000
```

Results
Space-group type: F-43m
DOS(E_F) (states/eV per atom): 0.613
Energy relative to the elements (kcal/mol of atoms): -5.314

***

(2)
BeAl2TcW | GGA-PBEsol | optimized geometry

Geometry as CIF:
```
data_BeAl2TcW
_cell_length_a 4.236
_cell_length_b 4.669
_cell_length_c 4.669
_cell_angle_alpha 90.00
_cell_angle_beta 90.00
_cell_angle_gamma 90.00
_symmetry_space_group_name_H-M 'P 1'
_symmetry_Int_Tables_number 1
loop_
_symmetry_equiv_pos_as_xyz
'x,y,z'
loop_
_atom_site_label
_atom_site_type_symbol
_atom_site_fract_x
_atom_site_fract_y
_atom_site_fract_z
Tc1 Tc 0.500 0.500 0.500
Al1 Al 0.000 0.000 0.500
Al2 Al 0.000 0.500 0.000
Be1 Be 0.500 0.000 0.000
W1 W 0.000 0.000 0.000
```

Results
Space-group type: P4/mmm
DOS(E_F) (states/eV per atom): 0.938
Energy relative to the elements (kcal/mol of atoms): 36.944

***

> Among the records above, which one has the highest DOS(E_F)?

BeAl2TcW

***

> Which of these has the highest energy relative to the elements?

BeAl2TcW

***

> Number 2 is which compound?

BeAl2TcW